[1]
This record from the Alexandria database describes crystalline RbCaV at its relaxed geometry. The functional is PBE-GGA.

- total magnetic moment (Bohr magnetons per cell) = 0.00
- space group = P-1, No. 2
- V (Å³/atom) = 43.198
- distance to the lowest polymorph of the same formula (eV per atom) = 0.053
- energy relative to the elements (eV per atom) = 0.518

```
6
Lattice="4.019 0.000 0.000 0.000 4.327 0.000 -1.993 -0.263 14.906" Properties=species:S:1:pos:R:3 pbc="T T T"
Rb -0.010 0.917 5.346
Rb 2.036 3.146 9.559
Ca 0.017 1.004 12.951
Ca 2.009 3.060 1.955
V -0.001 0.821 0.423
V 2.027 3.242 14.483
```


[2]
This record from the Alexandria database describes crystalline RbCaV at its relaxed geometry. The functional is PBE-GGA.

- total magnetic moment (Bohr magnetons per cell) = 9.40
- space group = P6_3/mmc, No. 194
- V (Å³/atom) = 38.262
- distance to the lowest polymorph of the same formula (eV per atom) = 0.572
- energy relative to the elements (eV per atom) = 1.037

```
6
Lattice="6.126 0.000 0.000 -3.063 5.306 0.000 0.000 0.000 7.063" Properties=species:S:1:pos:R:3 pbc="T T T"
Rb 0.000 0.000 0.000
Rb 0.000 0.000 3.531
Ca 0.000 3.537 1.766
Ca 3.063 1.769 5.297
V 0.000 3.537 5.297
V 3.063 1.769 1.766
```


[3]
This record from the Alexandria database describes crystalline RbCaV3 at its relaxed geometry. The functional is PBE-GGA.

- total magnetic moment (Bohr magnetons per cell) = 13.28
- space group = Pm-3m, No. 221
- V (Å³/atom) = 37.096
- distance to the lowest polymorph of the same formula (eV per atom) = 0.000
- energy relative to the elements (eV per atom) = 2.056

```
5
Lattice="5.703 0.000 0.000 0.000 5.703 0.000 0.000 0.000 5.703" Properties=species:S:1:pos:R:3 pbc="T T T"
Rb 0.000 0.000 0.000
Ca 2.851 2.851 2.851
V 0.000 2.851 2.851
V 2.851 0.000 2.851
V 2.851 2.851 0.000
```


[4]
This record from the Alexandria database describes crystalline RbCaV at its relaxed geometry. The functional is PBE-GGA.

- total magnetic moment (Bohr magnetons per cell) = 0.00
- space group = Pnma, No. 62
- V (Å³/atom) = 39.058
- distance to the lowest polymorph of the same formula (eV per atom) = 0.335
- energy relative to the elements (eV per atom) = 0.800

```
12
Lattice="16.793 0.000 0.000 0.000 3.911 0.000 0.000 0.000 7.137" Properties=species:S:1:pos:R:3 pbc="T T T"
Rb 1.659 0.978 0.102
Rb 6.737 2.933 3.670
Rb 10.055 0.978 3.467
Rb 15.133 2.933 7.035
Ca 2.897 0.978 3.702
Ca 5.500 2.933 0.134
Ca 11.293 0.978 7.003
Ca 13.896 2.933 3.435
V 0.364 2.933 3.363
V 8.032 0.978 6.931
V 8.761 2.933 0.206
V 16.428 0.978 3.774
```